{"formula": "KCrN2F", "functional": "PBE with a Hubbard U", "state": "optimized geometry", "dos_ef_per_ev_fu": 2.32, "e_tot_ev_per_cell": -27.96, "de_polymorph_mev_per_atom": 0, "space_group": "P4/mmm", "m_tot_mub_per_fu": 0.0, "lattice": [[3.708, 0.000, 0.000], [0.000, 3.708, 0.000], [0.000, 0.000, 4.476]], "species": ["K", "Cr", "N", "N", "F"], "frac_coords": [[0.000, 0.000, 0.000], [0.500, 0.500, 0.500], [0.000, 0.500, 0.500], [0.500, 0.000, 0.500], [0.500, 0.500, 0.000]]}